No. 1
Re2TeAu PBE optimized geometry; theoretical density = 15.61 g/cm3; electronic total energy = -7.34 eV per atom; crystal system = trigonal; calculated volume = 18.54 Å³/atom; density of states at the Fermi level = 2.0 states/eV per cell; ΔE_f (raw) = 484 meV/atom
1.0
1.466 0.847 9.954
-1.466 0.847 9.954
0.000 -1.693 9.954
Re Te Au
2 1 1
direct
0.000 0.000 0.000
0.266 0.266 0.266
0.750 0.750 0.750
0.518 0.518 0.518

---

No. 2
ReTeAu2 PBE optimized geometry; theoretical density = 15.40 g/cm3; electronic total energy = -4.94 eV per atom; crystal system = monoclinic; calculated volume = 19.08 Å³/atom; density of states at the Fermi level = 2.7 states/eV per cell; ΔE_f (raw) = 596 meV/atom
1.0
4.571 -1.628 0.000
4.571 1.628 0.000
-0.995 0.000 5.127
Re Te Au
1 1 2
direct
0.000 0.000 0.000
0.273 0.273 0.818
0.495 0.495 0.496
0.744 0.744 0.279

---

No. 3
ReTeAu2 PBE optimized geometry; theoretical density = 14.99 g/cm3; electronic total energy = -5.09 eV per atom; crystal system = tetragonal; calculated volume = 19.60 Å³/atom; density of states at the Fermi level = 3.0 states/eV per cell; ΔE_f (raw) = 444 meV/atom
1.0
3.191 0.000 0.000
0.000 3.191 0.000
0.000 0.000 7.701
Re Te Au
1 1 2
direct
0.000 0.000 0.000
0.500 0.500 0.200
0.000 0.000 0.540
0.500 0.500 0.766

---

No. 4
ReTeAu2 PBE optimized geometry; theoretical density = 14.56 g/cm3; electronic total energy = -5.08 eV per atom; crystal system = trigonal; calculated volume = 20.17 Å³/atom; density of states at the Fermi level = 3.9 states/eV per cell; ΔE_f (raw) = 455 meV/atom
1.0
1.585 0.915 9.273
-1.585 0.915 9.273
0.000 -1.830 9.273
Re Te Au
1 1 2
direct
0.000 0.000 0.000
0.735 0.735 0.735
0.256 0.256 0.256
0.510 0.510 0.510